(1)
Computed, not measured: a relaxed structure of MoAs at the PBE level of DFT.

a b c (Å): 2.968 2.968 9.937
angles (deg): 90.00 90.00 120.00
Fractional coordinates of all 4 atoms:
Mo (0.000, 0.000, 0.519)
Mo (0.667, 0.333, 0.731)
As (0.000, 0.000, 0.939)
As (0.667, 0.333, 0.311)

## Properties
Magnetic moment   0.00 μB/f.u.
E_tot   -7.65 eV/atom

***

(2)
Computed, not measured: a relaxed structure of TlCo2Pb at the PBE level of DFT.

a b c (Å): 3.256 3.256 6.492
angles (deg): 90.00 90.00 90.00
Site moments in Bohr magnetons follow the coordinates.
Fractional coordinates of all 4 atoms:
Co (0.000, 0.000, 0.998)  0.90
Co (0.000, 0.000, 0.502)  0.90
Pb (0.500, 0.500, 0.250)  -0.02
Tl (0.500, 0.500, 0.750)  -0.04

## Properties
Magnetic moment   1.63 μB/f.u.
E_tot   -4.48 eV/atom

***

(3)
Computed, not measured: a relaxed structure of Ca2Ga2Cu5Ag at the PBE level of DFT.

a b c (Å): 3.548 9.954 9.954
angles (deg): 90.00 90.00 90.00
Fractional coordinates of all 20 atoms:
Ca (0.000, 0.676, 0.176)
Ca (0.000, 0.324, 0.824)
Ca (0.000, 0.176, 0.324)
Ca (0.000, 0.824, 0.676)
Ga (0.000, 0.124, 0.624)
Ga (0.000, 0.876, 0.376)
Ga (0.000, 0.624, 0.876)
Ga (0.000, 0.376, 0.124)
Cu (0.500, 0.200, 0.055)
Cu (0.500, 0.800, 0.945)
Cu (0.500, 0.055, 0.800)
Cu (0.500, 0.700, 0.445)
Cu (0.500, 0.945, 0.200)
Cu (0.500, 0.300, 0.555)
Cu (0.500, 0.555, 0.700)
Cu (0.500, 0.445, 0.300)
Cu (0.500, 0.500, 0.000)
Cu (0.500, 0.000, 0.500)
Ag (0.000, 0.000, 0.000)
Ag (0.000, 0.500, 0.500)

## Properties
Magnetic moment   0.00 μB/f.u.
E_tot   -3.41 eV/atom

***

(4)
Computed, not measured: a relaxed structure of YErAgOs at the PBE level of DFT.

a b c (Å): 4.934 4.934 4.934
angles (deg): 60.00 60.00 60.00
Fractional coordinates of all 4 atoms:
Y (0.750, 0.750, 0.750)
Os (0.500, 0.500, 0.500)
Ag (0.000, 0.000, 0.000)
Er (0.250, 0.250, 0.250)

## Properties
Magnetic moment   0.00 μB/f.u.
E_tot   -6.56 eV/atom

***

(5)
Computed, not measured: a relaxed structure of Ac8Rh3SeCl4 at the PBE level of DFT.

a b c (Å): 8.827 9.336 8.826
angles (deg): 118.21 120.00 90.00
Fractional coordinates of all 16 atoms:
Ac (0.246, 0.710, 0.964)
Ac (0.246, 0.710, 0.492)
Ac (0.266, 0.298, 0.532)
Ac (0.718, 0.710, 0.964)
Ac (0.282, 0.290, 0.036)
Ac (0.734, 0.702, 0.468)
Ac (0.754, 0.290, 0.508)
Ac (0.754, 0.290, 0.036)
Rh (0.500, 0.500, 0.000)
Rh (0.500, 0.500, 0.500)
Rh (0.000, 0.500, 0.500)
Se (0.000, 0.500, 0.000)
Cl (0.500, 0.000, 0.000)
Cl (0.500, 0.000, 0.500)
Cl (0.000, 0.000, 0.000)
Cl (0.000, 0.000, 0.500)

## Properties
Magnetic moment   0.00 μB/f.u.
E_tot   -5.41 eV/atom

***

(6)
Computed, not measured: a relaxed structure of Pm3BeSn at the PBE level of DFT.

a b c (Å): 5.272 5.272 5.272
angles (deg): 90.00 90.00 90.00
Fractional coordinates of all 5 atoms:
Be (0.000, 0.000, 0.000)
Sn (0.500, 0.500, 0.500)
Pm (0.000, 0.500, 0.000)
Pm (0.000, 0.000, 0.500)
Pm (0.500, 0.000, 0.000)

## Properties
Magnetic moment   0.00 μB/f.u.
E_tot   -4.47 eV/atom

***

(7)
Computed, not measured: a relaxed structure of Sr3YU3As8 at the PBE level of DFT.

a b c (Å): 8.363 8.364 8.630
angles (deg): 118.99 90.00 120.00
Site moments in Bohr magnetons follow the coordinates.
Fractional coordinates of all 15 atoms:
Sr (0.000, 0.000, 0.000)  -0.01
Sr (0.000, 0.500, 0.000)  -0.01
Sr (0.500, 0.500, 0.000)  -0.01
Y (0.000, 0.000, 0.500)  -0.03
U (0.500, 0.000, 0.500)  1.27
U (0.500, 0.500, 0.500)  1.27
U (0.000, 0.500, 0.500)  1.28
As (0.261, 0.522, 0.283)  -0.05
As (0.739, 0.478, 0.717)  -0.05
As (0.755, 0.510, 0.287)  -0.07
As (0.245, 0.490, 0.713)  -0.07
As (0.755, 0.032, 0.287)  -0.07
As (0.245, 0.968, 0.713)  -0.07
As (0.277, 0.032, 0.287)  -0.07
As (0.723, 0.968, 0.713)  -0.07

## Properties
Magnetic moment   2.99 μB/f.u.
E_tot   -6.38 eV/atom

***

(8)
Computed, not measured: a relaxed structure of CaAc2Ag at the PBE level of DFT.

a b c (Å): 4.223 7.171 10.289
angles (deg): 90.00 90.00 107.13
Fractional coordinates of all 8 atoms:
Ca (0.934, 0.868, 0.250)
Ca (0.066, 0.132, 0.750)
Ac (0.363, 0.726, 0.556)
Ac (0.637, 0.274, 0.444)
Ac (0.363, 0.726, 0.944)
Ac (0.637, 0.274, 0.056)
Ag (0.746, 0.492, 0.750)
Ag (0.254, 0.508, 0.250)

## Properties
Excess energy over the best structure of this formula in the dataset   0 meV per atom
Magnetic moment   0.00 μB/f.u.
E_tot   -3.38 eV/atom

***

(9)
Computed, not measured: a relaxed structure of ZnC2N6Cl4 at the PBE level of DFT.

a b c (Å): 6.568 7.786 12.149
angles (deg): 83.83 94.96 93.06
Site moments in Bohr magnetons follow the coordinates.
Fractional coordinates of all 26 atoms:
Zn (0.446, 0.033, 0.117)  0.07
Zn (0.554, 0.967, 0.883)  0.07
C (0.721, 0.340, 0.429)  -0.15
C (0.279, 0.660, 0.571)  -0.15
C (0.713, 0.308, 0.993)  -0.12
C (0.287, 0.692, 0.007)  -0.12
N (0.792, 0.191, 0.477)  1.06
N (0.208, 0.809, 0.523)  1.06
N (0.506, 0.366, 0.411)  0.54
N (0.494, 0.634, 0.589)  0.54
N (0.836, 0.478, 0.394)  1.07
N (0.164, 0.522, 0.606)  1.07
N (0.694, 0.407, 0.075)  1.08
N (0.306, 0.593, 0.925)  1.08
N (0.619, 0.156, 0.992)  0.67
N (0.381, 0.844, 0.008)  0.67
N (0.840, 0.385, 0.910)  0.60
N (0.160, 0.615, 0.090)  0.60
Cl (0.185, 0.194, 0.123)  0.18
Cl (0.815, 0.806, 0.877)  0.18
Cl (0.355, 0.194, 0.447)  0.15
Cl (0.645, 0.806, 0.553)  0.15
Cl (0.658, 0.926, 0.253)  0.15
Cl (0.342, 0.074, 0.747)  0.15
Cl (0.107, 0.724, 0.190)  0.22
Cl (0.893, 0.276, 0.810)  0.22

## Properties
Magnetic moment   7.88 μB/f.u.
E_tot   -5.01 eV/atom

***

(10)
Computed, not measured: a relaxed structure of CsAc2AgBr8 at the PBE level of DFT.

a b c (Å): 7.396 7.470 9.572
angles (deg): 90.27 89.88 82.60
Fractional coordinates of all 12 atoms:
Cs (0.000, 0.000, 0.500)
Ac (0.500, 0.501, 0.761)
Ac (0.500, 0.499, 0.239)
Ag (0.000, 0.000, 0.000)
Br (0.151, 0.747, 0.207)
Br (0.641, 0.718, 0.001)
Br (0.848, 0.246, 0.204)
Br (0.849, 0.253, 0.793)
Br (0.359, 0.282, 0.999)
Br (0.152, 0.754, 0.796)
Br (0.616, 0.713, 0.500)
Br (0.384, 0.287, 0.500)

## Properties
Magnetic moment   0.00 μB/f.u.
E_tot   -3.77 eV/atom

***

(11)
Computed, not measured: a relaxed structure of Be4CuAu7 at the PBE level of DFT.

a b c (Å): 4.813 7.045 6.303
angles (deg): 70.42 67.56 70.03
Fractional coordinates of all 12 atoms:
Be (0.521, 0.296, 0.663)
Be (0.479, 0.704, 0.337)
Be (0.697, 0.656, 0.950)
Be (0.303, 0.344, 0.050)
Cu (0.000, 0.000, 0.000)
Au (0.776, 0.889, 0.558)
Au (0.224, 0.111, 0.442)
Au (0.065, 0.615, 0.254)
Au (0.935, 0.385, 0.746)
Au (0.297, 0.660, 0.747)
Au (0.500, 0.000, 0.000)
Au (0.703, 0.340, 0.253)

## Properties
Magnetic moment   0.00 μB/f.u.
E_tot   -3.47 eV/atom

***

(12)
Computed, not measured: a relaxed structure of Li2HfScRh at the PBE level of DFT.

a b c (Å): 4.868 4.674 4.868
angles (deg): 90.00 90.00 90.00
Fractional coordinates of all 5 atoms:
Sc (0.500, 0.500, 0.500)
Rh (0.000, 0.500, 0.000)
Hf (0.000, 0.000, 0.000)
Li (0.000, 0.000, 0.500)
Li (0.500, 0.000, 0.000)

## Properties
Magnetic moment   0.00 μB/f.u.
E_tot   -4.79 eV/atom